Entry 1:
Here is a geometry-optimized MnNbTe2N structure from the Alexandria database. Energies are from GGA-PBEsol.

Lattice parameters (Å, degrees): 5.177 5.177 3.420 90.00 90.00 90.00
Space group P4/mmm (No. 123)
One atom of each set of equivalent atoms:
Mn: 0.000 0.000 0.000 [1 per cell]
Nb: 0.500 0.500 0.500 [1 per cell]
Te: 0.000 0.500 0.000 [2 per cell]
N: 0.000 0.000 0.500 [1 per cell]

Results
**Formation energy from raw total energies**: 0.302 eV per atom

=====

Entry 2:
Here is a geometry-optimized CrIn2Ir structure from the Alexandria database. Energies are from GGA-PBEsol.

Lattice parameters (Å, degrees): 4.319 3.134 10.385 90.00 90.00 90.00
Space group Amm2 (No. 38)
One atom of each set of equivalent atoms:
Cr: 0.000 0.000 0.000 [2 per cell]
In: 0.000 0.000 0.728 [2 per cell]
In: 0.500 0.000 0.400 [2 per cell]
Ir: 0.500 0.000 0.128 [2 per cell]

Results
**Energy relative to the lowest polymorph listed for this composition**: 42 meV per atom
**Energy of formation**: 0.254 eV per atom

=====

Entry 3:
Here is a geometry-optimized Ta2PCl structure from the Alexandria database. Energies are from GGA-PBEsol.

Lattice parameters (Å, degrees): 7.578 3.384 6.874 90.00 117.19 90.00
Space group C2/m (No. 12)
One atom of each set of equivalent atoms:
Ta: 0.237 0.000 0.343 [4 per cell]
P: 0.000 0.000 0.500 [2 per cell]
Cl: 0.000 0.500 0.000 [2 per cell]

Results
**Formation energy from raw total energies**: -0.156 eV per atom
**Energy relative to the lowest polymorph listed for this composition**: 0 meV per atom

=====

no.,total DFT energy (no corrections) (eV per atom)
1,-6.930
2,-6.253
3,-8.381